## 1
# Ca2PmAg PBE optimized geometry
# - size of the total moment (μB per formula unit) = 0.1
# - ρ (g/cm3) = 4.20
# - DOS(E_F) (states/eV per atom) = 1.0837
data_Ca2PmAg
_chemical_formula_sum 'Ca6 Pm3 Ag3'
_cell_length_a 3.7800
_cell_length_b 3.7800
_cell_length_c 31.9562
_cell_angle_alpha 90.00
_cell_angle_beta 90.00
_cell_angle_gamma 120.00
_space_group_name_H-M_alt 'R 3 m'
_space_group_IT_number 160
_space_group_name_Hall 'R 3 -2"'
loop_
_atom_site_label
_atom_site_fract_x
_atom_site_fract_y
_atom_site_fract_z
Ca1 0.0000 0.0000 0.0000
Ca2 0.0000 0.0000 0.1945
Pm1 0.0000 0.0000 0.7634
Ag1 0.0000 0.0000 0.5974

=====

## 2
# Ca2PmAg PBE optimized geometry
# - size of the total moment (μB per formula unit) = 0.0
# - ρ (g/cm3) = 4.09
# - DOS(E_F) (states/eV per atom) = 1.1556
data_Ca2PmAg
_chemical_formula_sum 'Ca6 Pm3 Ag3'
_cell_length_a 3.6702
_cell_length_b 3.6702
_cell_length_c 34.7369
_cell_angle_alpha 90.00
_cell_angle_beta 90.00
_cell_angle_gamma 120.00
_space_group_name_H-M_alt 'R -3 m'
_space_group_IT_number 166
_space_group_name_Hall '-R 3 2"'
loop_
_atom_site_label
_atom_site_fract_x
_atom_site_fract_y
_atom_site_fract_z
Ca1 0.0000 0.0000 0.1021
Pm1 0.0000 0.0000 0.0000
Ag1 0.0000 0.0000 0.5000

=====

## 3
# Ca2PmAg PBE optimized geometry
# - size of the total moment (μB per formula unit) = 0.0
# - ρ (g/cm3) = 4.23
# - DOS(E_F) (states/eV per atom) = 1.4432
data_Ca2PmAg
_chemical_formula_sum 'Ca8 Pm4 Ag4'
_cell_length_a 3.842
_cell_length_b 13.076
_cell_length_c 10.410
_cell_angle_alpha 90.00
_cell_angle_beta 90.00
_cell_angle_gamma 90.00
_space_group_name_H-M_alt 'C m c m'
_space_group_IT_number 63
_space_group_name_Hall '-C 2c 2'
loop_
_atom_site_label
_atom_site_fract_x
_atom_site_fract_y
_atom_site_fract_z
Ca1 0.000 0.136 0.059
Pm1 0.000 0.434 0.250
Ag1 0.000 0.249 0.750

=====

## 4
# Ca2PmAg PBE optimized geometry
# - size of the total moment (μB per formula unit) = 0.0
# - ρ (g/cm3) = 4.38
# - DOS(E_F) (states/eV per atom) = 1.2551
data_Ca2PmAg
_chemical_formula_sum 'Ca2 Pm1 Ag1'
_cell_length_a 3.588
_cell_length_b 3.588
_cell_length_c 9.805
_cell_angle_alpha 90.00
_cell_angle_beta 90.00
_cell_angle_gamma 90.00
_space_group_name_H-M_alt 'P 4/m m m'
_space_group_IT_number 123
_space_group_name_Hall '-P 4 2'
loop_
_atom_site_label
_atom_site_fract_x
_atom_site_fract_y
_atom_site_fract_z
Ca1 0.000 0.000 0.201
Pm1 0.500 0.500 0.500
Ag1 0.500 0.500 0.000

=====

Tell me which of them is the most stable. Sure, it is 3.

=====

## 1
# CaPm2Ag2 PBE optimized geometry
# - size of the total moment (μB per formula unit) = 0.0
# - ρ (g/cm3) = 5.92
# - DOS(E_F) (states/eV per atom) = 1.1178
data_CaPm2Ag2
_chemical_formula_sum 'Ca2 Pm4 Ag4'
_cell_length_a 5.707
_cell_length_b 4.828
_cell_length_c 11.276
_cell_angle_alpha 90.00
_cell_angle_beta 99.66
_cell_angle_gamma 90.00
_space_group_name_H-M_alt 'P 1 21/m 1'
_space_group_IT_number 11
loop_
_space_group_symop_operation_xyz
'x,y,z'
'-x,-y,-z'
'-x,y+1/2,-z'
'x,-y+1/2,z'
loop_
_atom_site_label
_atom_site_fract_x
_atom_site_fract_y
_atom_site_fract_z
Ca1 0.077 0.250 0.281
Pm1 0.253 0.250 0.965
Pm2 0.400 0.250 0.620
Ag1 0.138 0.750 0.479
Ag2 0.277 0.750 0.137

=====

## 2
# CaPm2Ag2 PBE optimized geometry
# - size of the total moment (μB per formula unit) = 0.0
# - ρ (g/cm3) = 6.35
# - DOS(E_F) (states/eV per atom) = 1.2577
data_CaPm2Ag2
_chemical_formula_sum 'Ca2 Pm4 Ag4'
_cell_length_a 8.515
_cell_length_b 8.515
_cell_length_c 3.940
_cell_angle_alpha 90.00
_cell_angle_beta 90.00
_cell_angle_gamma 90.00
_space_group_name_H-M_alt 'P 4/m b m'
_space_group_IT_number 127
_space_group_name_Hall '-P 4 2ab'
loop_
_atom_site_label
_atom_site_fract_x
_atom_site_fract_y
_atom_site_fract_z
Ca1 0.000 0.000 0.000
Pm1 0.161 0.339 0.500
Ag1 0.128 0.628 0.000

=====

Tell me which of them is the most stable. Sure, it is 2.

=====

## 1
# CaPmAg2 PBE optimized geometry
# - size of the total moment (μB per formula unit) = 0.0
# - ρ (g/cm3) = 6.54
# - DOS(E_F) (states/eV per atom) = 0.7268
data_CaPmAg2
_chemical_formula_sum 'Ca4 Pm4 Ag8'
_cell_length_a 7.411
_cell_length_b 7.411
_cell_length_c 7.411
_cell_angle_alpha 90.00
_cell_angle_beta 90.00
_cell_angle_gamma 90.00
_space_group_name_H-M_alt 'F m -3 m'
_space_group_IT_number 225
_space_group_name_Hall '-F 4 2 3'
loop_
_atom_site_label
_atom_site_fract_x
_atom_site_fract_y
_atom_site_fract_z
Ca1 0.000 0.000 0.000
Pm1 0.000 0.000 0.500
Ag1 0.250 0.250 0.250

=====

## 2
# CaPmAg2 PBE optimized geometry
# - size of the total moment (μB per formula unit) = 0.0
# - ρ (g/cm3) = 6.42
# - DOS(E_F) (states/eV per atom) = 0.8014
data_CaPmAg2
_chemical_formula_sum 'Ca1 Pm1 Ag2'
_cell_length_a 3.723
_cell_length_b 3.723
_cell_length_c 7.478
_cell_angle_alpha 90.00
_cell_angle_beta 90.00
_cell_angle_gamma 90.00
_space_group_name_H-M_alt 'P 4/m m m'
_space_group_IT_number 123
_space_group_name_Hall '-P 4 2'
loop_
_atom_site_label
_atom_site_fract_x
_atom_site_fract_y
_atom_site_fract_z
Ca1 0.000 0.000 0.000
Pm1 0.000 0.000 0.500
Ag1 0.500 0.500 0.260

=====

Tell me which of them is the most stable. Sure, it is 1.

=====

## 1
# CaPrAg PBE optimized geometry
# - size of the total moment (μB per formula unit) = 0.0
# - ρ (g/cm3) = 4.77
# - DOS(E_F) (states/eV per atom) = 1.5397
data_CaPrAg
_chemical_formula_sum 'Ca6 Pr6 Ag6'
_cell_length_a 5.1607
_cell_length_b 5.1607
_cell_length_c 26.1698
_cell_angle_alpha 90.00
_cell_angle_beta 90.00
_cell_angle_gamma 120.00
_space_group_name_H-M_alt 'R -3 m'
_space_group_IT_number 166
_space_group_name_Hall '-R 3 2"'
loop_
_atom_site_label
_atom_site_fract_x
_atom_site_fract_y
_atom_site_fract_z
Ca1 0.0000 0.0000 0.1259
Pr1 0.0000 0.0000 0.3736
Ag1 0.0000 0.0000 0.2524

=====

## 2
# CaPrAg PBE optimized geometry
# - size of the total moment (μB per formula unit) = 0.0
# - ρ (g/cm3) = 4.80
# - DOS(E_F) (states/eV per atom) = 1.2823
data_CaPrAg
_chemical_formula_sum 'Ca8 Pr8 Ag8'
_cell_length_a 10.544
_cell_length_b 10.210
_cell_length_c 9.098
_cell_angle_alpha 90.00
_cell_angle_beta 125.28
_cell_angle_gamma 90.00
_space_group_name_H-M_alt 'C 1 2/c 1'
_space_group_IT_number 15
loop_
_space_group_symop_operation_xyz
'x,y,z'
'-x,-y,-z'
'-x,y,-z+1/2'
'x,-y,z+1/2'
'x+1/2,y+1/2,z'
'-x+1/2,-y+1/2,-z'
'-x+1/2,y+1/2,-z+1/2'
'x+1/2,-y+1/2,z+1/2'
loop_
_atom_site_label
_atom_site_fract_x
_atom_site_fract_y
_atom_site_fract_z
Ca1 0.122 0.125 0.495
Pr1 0.125 0.375 0.000
Ag1 0.244 0.375 0.750

=====

## 3
# CaPrAg PBE optimized geometry
# - size of the total moment (μB per formula unit) = 0.1
# - ρ (g/cm3) = 5.20
# - DOS(E_F) (states/eV per atom) = 1.4540
data_CaPrAg
_chemical_formula_sum 'Ca2 Pr2 Ag2'
_cell_length_a 3.710
_cell_length_b 3.710
_cell_length_c 13.396
_cell_angle_alpha 90.00
_cell_angle_beta 90.00
_cell_angle_gamma 90.00
_space_group_name_H-M_alt 'I 4 m m'
_space_group_IT_number 107
_space_group_name_Hall 'I 4 -2'
loop_
_atom_site_label
_atom_site_fract_x
_atom_site_fract_y
_atom_site_fract_z
Ca1 0.000 0.000 0.000
Pr1 0.000 0.000 0.279
Ag1 0.000 0.000 0.638

=====

Tell me which of them is the most stable. Sure, it is 3.

=====

## 1
# CaPrAg PBE optimized geometry
# - size of the total moment (μB per formula unit) = 0.0
# - ρ (g/cm3) = 4.84
# - DOS(E_F) (states/eV per atom) = 1.5434
data_CaPrAg
_chemical_formula_sum 'Ca4 Pr4 Ag4'
_cell_length_a 7.347
_cell_length_b 7.347
_cell_length_c 7.347
_cell_angle_alpha 90.00
_cell_angle_beta 90.00
_cell_angle_gamma 90.00
_space_group_name_H-M_alt 'F -4 3 m'
_space_group_IT_number 216
_space_group_name_Hall 'F -4 2 3'
loop_
_atom_site_label
_atom_site_fract_x
_atom_site_fract_y
_atom_site_fract_z
Ca1 0.000 0.000 0.000
Pr1 0.000 0.000 0.500
Ag1 0.250 0.250 0.750

=====

## 2
# CaPrAg PBE optimized geometry
# - size of the total moment (μB per formula unit) = 0.0
# - ρ (g/cm3) = 5.41
# - DOS(E_F) (states/eV per atom) = 0.8606
data_CaPrAg
_chemical_formula_sum 'Ca1 Pr1 Ag1'
_cell_length_a 5.2638
_cell_length_b 5.2638
_cell_length_c 3.6915
_cell_angle_alpha 90.00
_cell_angle_beta 90.00
_cell_angle_gamma 120.00
_space_group_name_H-M_alt 'P 3 m 1'
_space_group_IT_number 156
loop_
_space_group_symop_operation_xyz
'x,y,z'
'-y,x-y,z'
'-x+y,-x,z'
'-y,-x,z'
'-x+y,y,z'
'x,x-y,z'
loop_
_atom_site_label
_atom_site_fract_x
_atom_site_fract_y
_atom_site_fract_z
Ca1 0.0000 0.0000 0.0000
Pr1 0.3333 0.6667 0.5486
Ag1 0.6667 0.3333 0.2004

=====

Tell me which of them is the most stable. Sure, it is 1.